LiY3Au | PBE | relaxed

a = 5.596 Å, b = 5.596 Å, c = 5.596 Å
α = 90.00°, β = 90.00°, γ = 90.00°
Positions (direct):
Y 0.000 0.500 0.000
Y 0.000 0.000 0.500
Y 0.500 0.000 0.000
Au 0.000 0.000 0.000
Li 0.500 0.500 0.500

## Properties
magnetization	0.0	μB per cell
energy	-4.90	eV/atom
energy of formation	21	meV/atom
SG	No. 221
energy above the lowest structure with this stoichiometry	0.0	meV/atom

***

CaLaTl2O | PBE | relaxed

a = 5.849 Å, b = 4.386 Å, c = 5.849 Å
α = 90.00°, β = 90.00°, γ = 90.00°
Positions (direct):
Tl 0.000 0.000 0.500
Tl 0.500 0.000 0.000
Ca 0.500 0.500 0.500
O 0.000 0.000 0.000
La 0.000 0.500 0.000

## Properties
magnetization	0.0	μB per cell
ΔE_f (raw)	-0.9380	eV per atom
energy	-4.26	eV/atom
SG	No. 123

***

Al2Tl2W | PBE | relaxed

a = 7.042 Å, b = 7.042 Å, c = 4.100 Å
α = 90.00°, β = 90.00°, γ = 90.00°
Positions (direct):
Tl 0.165 0.665 0.500
Tl 0.665 0.835 0.500
Tl 0.835 0.335 0.500
Tl 0.335 0.165 0.500
Al 0.353 0.853 0.000
Al 0.853 0.647 0.000
Al 0.647 0.147 0.000
Al 0.147 0.353 0.000
W 0.000 0.000 0.000
W 0.500 0.500 0.000

## Properties
magnetization	0.0	μB per cell
energy	-4.29	eV/atom
energy of formation	740	meV/atom
SG	No. 127
energy above the lowest structure with this stoichiometry	0.0	meV/atom

***

KCr3As | PBE | relaxed

a = 5.254 Å, b = 5.254 Å, c = 5.254 Å
α = 90.00°, β = 90.00°, γ = 90.00°
Positions (direct):
Cr 0.000 0.500 0.000
Cr 0.000 0.000 0.500
Cr 0.500 0.000 0.000
As 0.500 0.500 0.500
K 0.000 0.000 0.000

## Properties
magnetization	15.0	μB per cell
energy	-4.62	eV/atom
energy of formation	2304	meV/atom
SG	No. 221
energy above the lowest structure with this stoichiometry	1467.7	meV/atom

***

YNi2Sb | PBE | relaxed

a = 4.673 Å, b = 4.673 Å, c = 4.673 Å
α = 60.00°, β = 60.00°, γ = 60.00°
Positions (direct):
Ni 0.000 0.000 0.000
Ni 0.250 0.250 0.250
Sb 0.500 0.500 0.500
Y 0.750 0.750 0.750

## Properties
magnetization	0.0	μB per cell
ΔE_f (raw)	-0.1357	eV per atom
energy	-5.67	eV/atom
SG	No. 216

***

Cr2PdRu2 | PBE | relaxed

a = 7.107 Å, b = 7.107 Å, c = 2.740 Å
α = 90.00°, β = 90.00°, γ = 90.00°
Positions (direct):
Ru 0.365 0.865 0.000
Ru 0.865 0.635 0.000
Ru 0.635 0.135 0.000
Ru 0.135 0.365 0.000
Pd 0.000 0.000 0.000
Pd 0.500 0.500 0.000
Cr 0.162 0.662 0.500
Cr 0.662 0.838 0.500
Cr 0.838 0.338 0.500
Cr 0.338 0.162 0.500

## Properties
magnetization	0.0	μB per cell
energy	-8.44	eV/atom
energy of formation	161	meV/atom
SG	No. 127
energy above the lowest structure with this stoichiometry	14.5	meV/atom